[1]
VAgPd: optimized geometry, PBE-GGA.

a = 6.487 Å, b = 5.705 Å, c = 4.590 Å
α = 77.28°, β = 59.08°, γ = 43.64°
Sites, in units of the cell vectors:
V: 0.250 0.250 0.250
V: 0.750 0.750 0.750
Ag: 0.169 0.831 0.169
Ag: 0.831 0.169 0.831
Pd: 0.371 0.371 0.629
Pd: 0.629 0.629 0.371

Values from the calculation:
Magnetization (μB/atom): 0.0001
Energy (eV per atom): -5.5237
Energy of formation (eV/atom): 0.197
Density of states at the Fermi level (states/eV/cell): 5.6
Symmetry: Fmmm (69)
Polymorph energy (0 for the lowest one) (meV per atom): 146

[2]
VAgPd2: optimized geometry, PBE-GGA.

a = 4.041 Å, b = 4.041 Å, c = 3.826 Å
α = 90.00°, β = 90.00°, γ = 90.00°
Sites, in units of the cell vectors:
V: 0.000 0.000 0.000
Ag: 0.500 0.500 0.000
Pd: 0.000 0.500 0.500
Pd: 0.500 0.000 0.500

Values from the calculation:
Magnetization (μB/atom): 0.5575
Energy (eV per atom): -5.6072
Energy of formation (eV/atom): -0.018
Density of states at the Fermi level (states/eV/cell): 5.7
Symmetry: P4/mmm (123)
Polymorph energy (0 for the lowest one) (meV per atom): 145

[3]
VAgPd: optimized geometry, PBE-GGA.

a = 2.780 Å, b = 2.780 Å, c = 6.966 Å
α = 90.00°, β = 90.00°, γ = 120.00°
Sites, in units of the cell vectors:
V: 0.000 0.000 0.000
Ag: 0.333 0.667 0.656
Pd: 0.667 0.333 0.300

Values from the calculation:
Magnetization (μB/atom): 0.0000
Energy (eV per atom): -5.6569
Energy of formation (eV/atom): 0.064
Density of states at the Fermi level (states/eV/cell): 2.0
Symmetry: P3m1 (156)
Polymorph energy (0 for the lowest one) (meV per atom): 13

[4]
VAgPd2: optimized geometry, PBE-GGA.

a = 6.316 Å, b = 6.316 Å, c = 6.316 Å
α = 90.00°, β = 90.00°, γ = 90.00°
Sites, in units of the cell vectors:
V: 0.000 0.000 0.000
V: 0.000 0.500 0.500
V: 0.500 0.000 0.500
V: 0.500 0.500 0.000
Ag: 0.000 0.000 0.500
Ag: 0.000 0.500 0.000
Ag: 0.500 0.000 0.000
Ag: 0.500 0.500 0.500
Pd: 0.250 0.250 0.250
Pd: 0.250 0.250 0.750
Pd: 0.250 0.750 0.250
Pd: 0.250 0.750 0.750
Pd: 0.750 0.250 0.250
Pd: 0.750 0.250 0.750
Pd: 0.750 0.750 0.250
Pd: 0.750 0.750 0.750

Values from the calculation:
Magnetization (μB/atom): 0.5391
Energy (eV per atom): -5.5770
Energy of formation (eV/atom): 0.012
Density of states at the Fermi level (states/eV/cell): 18.2
Symmetry: Fm-3m (225)
Polymorph energy (0 for the lowest one) (meV per atom): 175

[5]
V2AgPd6: optimized geometry, PBE-GGA.

a = 2.785 Å, b = 2.785 Å, c = 20.535 Å
α = 90.00°, β = 90.00°, γ = 120.00°
Sites, in units of the cell vectors:
V: 0.000 0.000 0.167
V: 0.000 0.000 0.833
Ag: 0.667 0.333 0.500
Pd: 0.000 0.000 0.383
Pd: 0.000 0.000 0.617
Pd: 0.667 0.333 0.066
Pd: 0.667 0.333 0.268
Pd: 0.667 0.333 0.732
Pd: 0.667 0.333 0.934

Values from the calculation:
Magnetization (μB/atom): 0.0000
Energy (eV per atom): -5.9184
Energy of formation (eV/atom): -0.113
Density of states at the Fermi level (states/eV/cell): 8.7
Symmetry: P-6m2 (187)

[6]
VAg3Pd6: optimized geometry, PBE-GGA.

a = 8.778 Å, b = 4.017 Å, c = 9.021 Å
α = 90.00°, β = 92.09°, γ = 90.00°
Sites, in units of the cell vectors:
V: 0.063 0.250 0.373
V: 0.937 0.750 0.627
Ag: 0.248 0.250 0.993
Ag: 0.346 0.750 0.792
Ag: 0.448 0.250 0.598
Ag: 0.552 0.750 0.402
Ag: 0.654 0.250 0.208
Ag: 0.752 0.750 0.007
Pd: 0.047 0.750 0.892
Pd: 0.125 0.250 0.677
Pd: 0.150 0.750 0.200
Pd: 0.219 0.750 0.493
Pd: 0.341 0.250 0.302
Pd: 0.448 0.750 0.100
Pd: 0.552 0.250 0.900
Pd: 0.659 0.750 0.698
Pd: 0.781 0.250 0.507
Pd: 0.850 0.250 0.800
Pd: 0.875 0.750 0.323
Pd: 0.953 0.250 0.108

Values from the calculation:
Magnetization (μB/atom): 0.0001
Energy (eV per atom): -4.9977
Energy of formation (eV/atom): -0.115
Density of states at the Fermi level (states/eV/cell): 13.5
Symmetry: P2_1/m (11)

[7]
V2AgPd2: optimized geometry, PBE-GGA.

a = 7.551 Å, b = 7.551 Å, c = 2.736 Å
α = 90.00°, β = 90.00°, γ = 90.00°
Sites, in units of the cell vectors:
V: 0.110 0.390 0.000
V: 0.390 0.890 0.000
V: 0.610 0.110 0.000
V: 0.890 0.610 0.000
Ag: 0.000 0.000 0.000
Ag: 0.500 0.500 0.000
Pd: 0.180 0.680 0.500
Pd: 0.320 0.180 0.500
Pd: 0.680 0.820 0.500
Pd: 0.820 0.320 0.500

Values from the calculation:
Magnetization (μB/atom): 0.0000
Energy (eV per atom): -6.2684
Energy of formation (eV/atom): 0.026
Density of states at the Fermi level (states/eV/cell): 8.3
Symmetry: P4/mbm (127)
Polymorph energy (0 for the lowest one) (meV per atom): 3

[8]
VAgPd2: optimized geometry, PBE-GGA.

a = 2.804 Å, b = 2.804 Å, c = 27.217 Å
α = 90.00°, β = 90.00°, γ = 120.00°
Sites, in units of the cell vectors:
V: 0.000 0.000 0.000
V: 0.333 0.667 0.667
V: 0.667 0.333 0.333
Ag: 0.000 0.000 0.500
Ag: 0.333 0.667 0.167
Ag: 0.667 0.333 0.833
Pd: 0.000 0.000 0.256
Pd: 0.000 0.000 0.744
Pd: 0.333 0.667 0.410
Pd: 0.333 0.667 0.923
Pd: 0.667 0.333 0.077
Pd: 0.667 0.333 0.590

Values from the calculation:
Magnetization (μB/atom): 0.0000
Energy (eV per atom): -5.6993
Energy of formation (eV/atom): -0.110
Density of states at the Fermi level (states/eV/cell): 9.7
Symmetry: R-3m (166)
Polymorph energy (0 for the lowest one) (meV per atom): 52

[9]
VAg2Pd: optimized geometry, PBE-GGA.

a = 6.445 Å, b = 6.445 Å, c = 6.445 Å
α = 90.00°, β = 90.00°, γ = 90.00°
Sites, in units of the cell vectors:
V: 0.000 0.000 0.000
V: 0.000 0.500 0.500
V: 0.500 0.000 0.500
V: 0.500 0.500 0.000
Ag: 0.250 0.250 0.250
Ag: 0.250 0.250 0.750
Ag: 0.250 0.750 0.250
Ag: 0.250 0.750 0.750
Ag: 0.750 0.250 0.250
Ag: 0.750 0.250 0.750
Ag: 0.750 0.750 0.250
Ag: 0.750 0.750 0.750
Pd: 0.000 0.000 0.500
Pd: 0.000 0.500 0.000
Pd: 0.500 0.000 0.000
Pd: 0.500 0.500 0.500

Values from the calculation:
Magnetization (μB/atom): 0.6703
Energy (eV per atom): -4.7266
Energy of formation (eV/atom): 0.277
Density of states at the Fermi level (states/eV/cell): 28.7
Symmetry: Fm-3m (225)
Polymorph energy (0 for the lowest one) (meV per atom): 0

[10]
VAg2Pd: optimized geometry, PBE-GGA.

a = 7.411 Å, b = 7.411 Å, c = 5.357 Å
α = 90.00°, β = 90.00°, γ = 90.00°
Sites, in units of the cell vectors:
V: 0.000 0.000 0.000
V: 0.000 0.500 0.250
V: 0.500 0.000 0.750
V: 0.500 0.500 0.500
Ag: 0.249 0.250 0.625
Ag: 0.250 0.749 0.875
Ag: 0.250 0.751 0.375
Ag: 0.251 0.250 0.125
Ag: 0.749 0.750 0.125
Ag: 0.750 0.249 0.375
Ag: 0.750 0.251 0.875
Ag: 0.751 0.750 0.625
Pd: 0.000 0.000 0.500
Pd: 0.000 0.500 0.750
Pd: 0.500 0.000 0.250
Pd: 0.500 0.500 0.000

Values from the calculation:
Magnetization (μB/atom): 0.7509
Energy (eV per atom): -4.4609
Energy of formation (eV/atom): 0.543
Density of states at the Fermi level (states/eV/cell): 16.4
Symmetry: I-42d (122)
Polymorph energy (0 for the lowest one) (meV per atom): 266

[11]
YVAgPd2: optimized geometry, PBE-GGA.

a = 4.948 Å, b = 4.948 Å, c = 5.060 Å
α = 90.00°, β = 90.00°, γ = 90.00°
Sites, in units of the cell vectors:
Y: 0.000 0.000 0.000
V: 0.500 0.500 0.000
Ag: 0.000 0.000 0.500
Pd: 0.000 0.500 0.500
Pd: 0.500 0.000 0.500

Values from the calculation:
Magnetization (μB/atom): 0.0194
Energy (eV per atom): -4.6535
Energy of formation (eV/atom): 1.110
Density of states at the Fermi level (states/eV/cell): 6.5
Symmetry: P4/mmm (123)

[12]
ZrVAg2Pd: optimized geometry, PBE-GGA.

a = 4.983 Å, b = 4.983 Å, c = 4.820 Å
α = 90.00°, β = 90.00°, γ = 90.00°
Sites, in units of the cell vectors:
Zr: 0.000 0.000 0.000
V: 0.500 0.500 0.000
Ag: 0.000 0.500 0.500
Ag: 0.500 0.000 0.500
Pd: 0.000 0.000 0.500

Values from the calculation:
Magnetization (μB/atom): 0.0224
Energy (eV per atom): -4.5867
Energy of formation (eV/atom): 1.126
Density of states at the Fermi level (states/eV/cell): 7.9
Symmetry: P4/mmm (123)